a) # LiPtF2

An optimized crystal structure of LiPtF2 (PBEsol, the Alexandria database).

Computed properties:
D(E_F): 5.0 states/eV per cell
Calculated volume: 194 Å³ per cell

abc: 4.9855 4.9855 7.8089
angles: 90.00 90.00 90.00
Space group I-42d (No. 122)
One atom of each set of equivalent atoms:
Li (0.0000, 0.0000, 0.0000) x4
Pt (0.0000, 0.0000, 0.5000) x4
F (0.1660, 0.2500, 0.1250) x8


b) # LiPtF2

An optimized crystal structure of LiPtF2 (PBEsol, the Alexandria database).

Computed properties:
D(E_F): 2.6 states/eV per cell
Calculated volume: 125 Å³ per cell

abc: 2.8016 2.8016 18.4484
angles: 90.00 90.00 120.00
Space group R-3m (No. 166, hexagonal axes)
One atom of each set of equivalent atoms:
Li (0.0000, 0.0000, 0.0000) x3
Pt (0.0000, 0.0000, 0.5000) x3
F (0.0000, 0.0000, 0.3916) x6


b) ends up most stable, edging out the next structure by 0.721 eV/atom.


a) # LiSeF2

An optimized crystal structure of LiSeF2 (PBEsol, the Alexandria database).

Computed properties:
D(E_F): 11.2 states/eV per cell
Calculated volume: 215 Å³ per cell

abc: 5.9908 5.9908 5.9908
angles: 90.00 90.00 90.00
Space group Fm-3m (No. 225)
One atom of each set of equivalent atoms:
Li (0.0000, 0.0000, 0.0000) x4
Se (0.0000, 0.0000, 0.5000) x4
F (0.2500, 0.2500, 0.2500) x8


b) # LiSeF2

An optimized crystal structure of LiSeF2 (PBEsol, the Alexandria database).

Computed properties:
D(E_F): 5.6 states/eV per cell
Calculated volume: 205 Å³ per cell

abc: 5.1014 5.1014 7.8933
angles: 90.00 90.00 90.00
Space group I-42d (No. 122)
One atom of each set of equivalent atoms:
Li (0.0000, 0.0000, 0.0000) x4
Se (0.0000, 0.0000, 0.5000) x4
F (0.1450, 0.7500, 0.1250) x8


b) ends up most stable, edging out the next structure by 0.458 eV/atom.


a) # LiTc2F

An optimized crystal structure of LiTc2F (PBEsol, the Alexandria database).

Computed properties:
D(E_F): 14.9 states/eV per cell
Calculated volume: 224 Å³ per cell

abc: 7.8235 7.8235 3.6582
angles: 90.00 90.00 90.00
Space group I-42d (No. 122)
One atom of each set of equivalent atoms:
Li (0.0000, 0.0000, 0.0000) x4
Tc (0.1665, 0.2500, 0.6250) x8
F (0.0000, 0.0000, 0.5000) x4


b) # LiTc2F

An optimized crystal structure of LiTc2F (PBEsol, the Alexandria database).

Computed properties:
D(E_F): 18.0 states/eV per cell
Calculated volume: 187 Å³ per cell

abc: 5.7173 5.7173 5.7173
angles: 90.00 90.00 90.00
Space group Fm-3m (No. 225)
One atom of each set of equivalent atoms:
Li (0.0000, 0.0000, 0.0000) x4
Tc (0.2500, 0.2500, 0.2500) x8
F (0.0000, 0.0000, 0.5000) x4


a) ends up most stable, edging out the next structure by 0.712 eV/atom.


a) # LiV2F7

An optimized crystal structure of LiV2F7 (PBEsol, the Alexandria database).

Computed properties:
D(E_F): 16.7 states/eV per cell
Calculated volume: 272 Å³ per cell

abc: 5.2755 6.7019 8.4798
angles: 71.21 73.35 83.07
Space group P-1 (No. 2)
One atom of each set of equivalent atoms:
Li (0.1164, 0.0260, 0.2582) x2
V (0.1929, 0.4836, 0.3277) x2
V (0.2793, 0.2895, 0.8168) x2
F (0.0856, 0.6002, 0.1193) x2
F (0.1016, 0.2071, 0.3853) x2
F (0.1785, 0.0581, 0.7840) x2
F (0.1972, 0.4379, 0.5737) x2
F (0.3041, 0.1858, 0.0374) x2
F (0.3328, 0.7667, 0.2852) x2
F (0.4278, 0.5594, 0.7626) x2


b) # LiV2F7

An optimized crystal structure of LiV2F7 (PBEsol, the Alexandria database).

Computed properties:
D(E_F): 24.8 states/eV per cell
Calculated volume: 461 Å³ per cell

abc: 13.2420 7.1330 5.1152
angles: 90.00 107.48 90.00
Space group C2/c (No. 15)
One atom of each set of equivalent atoms:
Li (0.0000, 0.0106, 0.2500) x4
V (0.1665, 0.3228, 0.7344) x8
F (0.0472, 0.1767, 0.5426) x8
F (0.1175, 0.4655, 0.9889) x8
F (0.1942, 0.1142, 0.9975) x8
F (0.2500, 0.2500, 0.5000) x4


c) # LiV2F7

An optimized crystal structure of LiV2F7 (PBEsol, the Alexandria database).

Computed properties:
D(E_F): 29.1 states/eV per cell
Calculated volume: 534 Å³ per cell

abc: 7.2778 10.5235 6.9773
angles: 90.00 90.00 90.00
Space group Imma (No. 74)
One atom of each set of equivalent atoms:
Li (0.0000, 0.0000, 0.0000) x4
V (0.0000, 0.0000, 0.5000) x4
V (0.2500, 0.2500, 0.2500) x4
F (0.0000, 0.0503, 0.7552) x8
F (0.0000, 0.2500, 0.1564) x4
F (0.1954, 0.1194, 0.4377) x16


c) ends up most stable, edging out the next structure by 0.043 eV/atom.


a) # Li2VF4

An optimized crystal structure of Li2VF4 (PBEsol, the Alexandria database).

Computed properties:
Calculated volume: 586 Å³ per cell

abc: 12.0245 5.4628 8.9172
angles: 90.00 90.00 90.00
Space group Pna2_1 (No. 33)
One atom of each set of equivalent atoms:
Li (0.0303, 0.1871, 0.0000) x4
Li (0.0778, 0.7831, 0.2137) x4
Li (0.1790, 0.3990, 0.8042) x4
Li (0.2226, 0.8883, 0.9968) x4
V (0.0615, 0.2853, 0.3784) x4
V (0.1849, 0.8523, 0.6205) x4
F (0.0197, 0.8954, 0.7042) x4
F (0.0218, 0.4025, 0.8223) x4
F (0.0734, 0.8046, 0.0010) x4
F (0.1095, 0.9365, 0.4239) x4
F (0.1293, 0.5036, 0.5514) x4
F (0.1814, 0.2430, 0.9994) x4
F (0.2341, 0.2453, 0.3103) x4
F (0.2390, 0.6848, 0.1808) x4


b) # Li2VF4

An optimized crystal structure of Li2VF4 (PBEsol, the Alexandria database).

Computed properties:
Calculated volume: 151 Å³ per cell

abc: 5.1421 3.1237 10.2961
angles: 90.00 114.19 90.00
Space group P2/c (No. 13)
One atom of each set of equivalent atoms:
Li (0.1584, 0.0023, 0.4215) x4
V (0.5000, 0.4982, 0.7500) x2
F (0.2486, 0.0017, 0.1246) x4
F (0.2650, 0.4977, 0.8680) x4


b) ends up most stable, edging out the next structure by 0.031 eV/atom.


a) # Li2VF4

An optimized crystal structure of Li2VF4 (PBEsol, the Alexandria database).

Computed properties:
Calculated volume: 296 Å³ per cell

abc: 5.8189 6.0951 8.3465
angles: 90.00 90.00 90.00
Space group Imma (No. 74)
One atom of each set of equivalent atoms:
Li (0.0000, 0.2500, 0.1362) x4
Li (0.2500, 0.2500, 0.7500) x4
V (0.0000, 0.0000, 0.5000) x4
F (0.0000, 0.0181, 0.7446) x8
F (0.2395, 0.2500, 0.5039) x8


b) # Li2VF4

An optimized crystal structure of Li2VF4 (PBEsol, the Alexandria database).

Computed properties:
Calculated volume: 149 Å³ per cell

abc: 5.7416 8.4877 3.0502
angles: 90.00 90.00 90.00
Space group Cmmm (No. 65)
One atom of each set of equivalent atoms:
Li (0.2500, 0.2500, 0.0000) x4
V (0.0000, 0.0000, 0.5000) x2
F (0.0000, 0.2402, 0.5000) x4
F (0.2356, 0.0000, 0.0000) x4


a) ends up most stable, edging out the next structure by 0.056 eV/atom.


a) # Li2VF4

An optimized crystal structure of Li2VF4 (PBEsol, the Alexandria database).

Computed properties:
Calculated volume: 143 Å³ per cell

abc: 4.0677 4.0677 8.6659
angles: 90.00 90.00 90.00
Space group I4/mmm (No. 139)
One atom of each set of equivalent atoms:
Li (0.0000, 0.5000, 0.2500) x4
V (0.0000, 0.0000, 0.0000) x2
F (0.0000, 0.0000, 0.2365) x4
F (0.0000, 0.5000, 0.0000) x4


b) # Li2VF4

An optimized crystal structure of Li2VF4 (PBEsol, the Alexandria database).

Computed properties:
Calculated volume: 145 Å³ per cell

abc: 4.8942 9.8024 3.0286
angles: 90.00 90.00 90.00
Space group Pbam (No. 55)
One atom of each set of equivalent atoms:
Li (0.0212, 0.2128, 0.0000) x4
V (0.0000, 0.5000, 0.5000) x2
F (0.2085, 0.4023, 0.0000) x4
F (0.2432, 0.6714, 0.5000) x4


b) ends up most stable, edging out the next structure by 0.025 eV/atom.


a) # LiVF3

An optimized crystal structure of LiVF3 (PBEsol, the Alexandria database).

Computed properties:
D(E_F): 0.3 states/eV per cell
Calculated volume: 109 Å³ per cell

abc: 3.1778 5.4169 6.5421
angles: 90.00 104.01 90.00
Space group P2_1/m (No. 11)
One atom of each set of equivalent atoms:
Li (0.0555, 0.2500, 0.1224) x2
V (0.3294, 0.2500, 0.6603) x2
F (0.1662, 0.5010, 0.3311) x4
F (0.4820, 0.2500, 0.9753) x2


b) # LiVF3

An optimized crystal structure of LiVF3 (PBEsol, the Alexandria database).

Computed properties:
D(E_F): 0.5 states/eV per cell
Calculated volume: 161 Å³ per cell

abc: 5.6671 5.6671 5.7953
angles: 90.00 90.00 120.00
Space group P6_3/mmc (No. 194)
One atom of each set of equivalent atoms:
Li (0.3333, 0.6667, 0.2500) x2
V (0.0000, 0.0000, 0.0000) x2
F (0.1507, 0.3013, 0.2500) x6


a) ends up most stable, edging out the next structure by 0.011 eV/atom.